Entry 1:
Here is crystalline TePdS at its relaxed geometry from Alexandria via LeMat-Bulk. Energies are from PBE.

Values from the calculation:
E_form (uncorrected) ... -222 meV per atom
DFT total energy ... -4.38 eV per atom
Theoretical density ... 6924 kg/m3
Energy above the most stable polymorph in this dataset ... 43 meV/atom

a b c (Å): 6.344 6.344 6.344
angles (deg): 90.00 90.00 90.00
Sites, in units of the cell vectors:
Te: 0.381 0.381 0.381
Te: 0.119 0.619 0.881
Te: 0.881 0.119 0.619
Te: 0.619 0.881 0.119
Pd: 0.014 0.014 0.014
Pd: 0.486 0.986 0.514
Pd: 0.514 0.486 0.986
Pd: 0.986 0.514 0.486
S: 0.607 0.607 0.607
S: 0.893 0.393 0.107
S: 0.107 0.893 0.393
S: 0.393 0.107 0.893



Entry 2:
Here is crystalline Te2PdS6 at its relaxed geometry from Alexandria via LeMat-Bulk. Energies are from PBE.

Values from the calculation:
E_form (uncorrected) ... 24 meV per atom
DFT total energy ... -4.00 eV per atom
Theoretical density ... 3709 kg/m3

a b c (Å): 3.686 7.229 10.376
angles (deg): 111.15 90.00 104.77
Sites, in units of the cell vectors:
Te: 0.644 0.287 0.826
Te: 0.356 0.713 0.174
Pd: 0.000 0.000 0.500
S: 0.280 0.559 0.846
S: 0.720 0.441 0.154
S: 0.007 0.014 0.273
S: 0.621 0.243 0.573
S: 0.993 0.986 0.727
S: 0.379 0.757 0.427



Entry 3:
Here is crystalline Te2PdS at its relaxed geometry from Alexandria via LeMat-Bulk. Energies are from PBE.

Values from the calculation:
E_form (uncorrected) ... 138 meV per atom
DFT total energy ... -3.76 eV per atom
Theoretical density ... 5507 kg/m3

a b c (Å): 5.989 5.989 7.859
angles (deg): 67.60 67.60 90.00
Sites, in units of the cell vectors:
S: 0.500 0.500 0.000
S: 0.250 0.750 0.500
Te: 0.651 0.125 0.250
Te: 0.099 0.625 0.250
Te: 0.375 0.349 0.750
Te: 0.875 0.901 0.750
Pd: 0.000 0.000 0.000
Pd: 0.750 0.250 0.500



Entry 4:
Here is crystalline Te4PdS at its relaxed geometry from Alexandria via LeMat-Bulk. Energies are from PBE.

Values from the calculation:
E_form (uncorrected) ... 35 meV per atom
DFT total energy ... -3.61 eV per atom
Theoretical density ... 6230 kg/m3

a b c (Å): 6.121 6.841 8.979
angles (deg): 101.18 109.93 90.00
Sites, in units of the cell vectors:
Te: 0.652 0.023 0.830
Te: 0.822 0.477 0.170
Te: 0.348 0.977 0.170
Te: 0.178 0.523 0.830
Te: 0.942 0.884 0.630
Te: 0.311 0.616 0.370
Te: 0.058 0.116 0.370
Te: 0.689 0.384 0.630
Pd: 0.500 0.000 0.500
Pd: 0.000 0.500 0.500
S: 0.638 0.750 0.000
S: 0.362 0.250 0.000



Entry 5:
Here is crystalline TePdS4 at its relaxed geometry from Alexandria via LeMat-Bulk. Energies are from PBE.

Values from the calculation:
E_form (uncorrected) ... 25 meV per atom
DFT total energy ... -4.12 eV per atom
Theoretical density ... 4139 kg/m3

a b c (Å): 3.684 6.269 7.354
angles (deg): 116.91 104.50 90.00
Sites, in units of the cell vectors:
Te: 0.000 0.000 0.000
Pd: 0.500 0.500 0.000
S: 0.892 0.250 0.783
S: 0.108 0.750 0.217
S: 0.381 0.680 0.763
S: 0.619 0.320 0.237



Entry 6:
Here is crystalline TePdS at its relaxed geometry from Alexandria via LeMat-Bulk. Energies are from PBE.

Values from the calculation:
E_form (uncorrected) ... -25 meV per atom
DFT total energy ... -4.18 eV per atom
Theoretical density ... 6534 kg/m3
Energy above the most stable polymorph in this dataset ... 240 meV/atom

a b c (Å): 3.305 3.608 11.339
angles (deg): 90.00 90.00 90.00
Sites, in units of the cell vectors:
S: 0.000 0.000 0.628
S: 0.500 0.500 0.128
Te: 0.000 0.000 0.394
Te: 0.500 0.500 0.894
Pd: 0.000 0.000 0.153
Pd: 0.500 0.500 0.653



Entry 7:
Here is crystalline Te2Pd2S at its relaxed geometry from Alexandria via LeMat-Bulk. Energies are from PBE.

Values from the calculation:
E_form (uncorrected) ... -201 meV per atom
DFT total energy ... -4.36 eV per atom
Theoretical density ... 7610 kg/m3

a b c (Å): 5.337 7.617 10.738
angles (deg): 90.00 90.00 90.00
Sites, in units of the cell vectors:
Te: 0.750 0.628 0.569
Te: 0.250 0.872 0.069
Te: 0.250 0.372 0.431
Te: 0.750 0.128 0.931
Te: 0.750 0.927 0.324
Te: 0.250 0.573 0.824
Te: 0.250 0.073 0.676
Te: 0.750 0.427 0.176
Pd: 0.750 0.408 0.767
Pd: 0.250 0.092 0.267
Pd: 0.250 0.592 0.233
Pd: 0.750 0.908 0.733
Pd: 0.750 0.775 0.100
Pd: 0.250 0.725 0.600
Pd: 0.250 0.225 0.900
Pd: 0.750 0.275 0.400
S: 0.750 0.176 0.618
S: 0.250 0.324 0.118
S: 0.250 0.824 0.382
S: 0.750 0.676 0.882



Entry 8:
Here is crystalline TePdS at its relaxed geometry from Alexandria via LeMat-Bulk. Energies are from PBE.

Values from the calculation:
E_form (uncorrected) ... -265 meV per atom
DFT total energy ... -4.42 eV per atom
Theoretical density ... 6498 kg/m3
Energy above the most stable polymorph in this dataset ... 0 meV/atom

a b c (Å): 3.781 5.615 6.760
angles (deg): 98.81 106.26 90.03
Sites, in units of the cell vectors:
Te: 0.807 0.772 0.613
Te: 0.193 0.228 0.387
Pd: 0.159 0.715 0.318
Pd: 0.841 0.285 0.682
S: 0.464 0.321 0.928
S: 0.536 0.679 0.072



Entry 9:
Here is crystalline TePd2S at its relaxed geometry from Alexandria via LeMat-Bulk. Energies are from PBE.

Values from the calculation:
E_form (uncorrected) ... -143 meV per atom
DFT total energy ... -4.56 eV per atom
Theoretical density ... 8055 kg/m3
Energy above the most stable polymorph in this dataset ... 54 meV/atom

a b c (Å): 3.677 3.677 6.893
angles (deg): 74.53 74.53 60.00
Sites, in units of the cell vectors:
Te: 0.670 0.670 0.990
Pd: 0.093 0.093 0.720
Pd: 0.240 0.240 0.281
S: 0.497 0.497 0.509



Entry 10:
Here is crystalline TePdS at its relaxed geometry from Alexandria via LeMat-Bulk. Energies are from PBE.

Values from the calculation:
E_form (uncorrected) ... -73 meV per atom
DFT total energy ... -4.23 eV per atom
Theoretical density ... 5412 kg/m3
Energy above the most stable polymorph in this dataset ... 192 meV/atom

a b c (Å): 4.430 4.592 4.794
angles (deg): 105.70 117.03 93.59
Sites, in units of the cell vectors:
S: 0.183 0.177 0.056
Te: 0.823 0.748 0.534
Pd: 0.120 0.693 0.148



Entry 11:
Here is crystalline TePd2S at its relaxed geometry from Alexandria via LeMat-Bulk. Energies are from PBE.

Values from the calculation:
E_form (uncorrected) ... -19 meV per atom
DFT total energy ... -4.43 eV per atom
Theoretical density ... 8703 kg/m3
Energy above the most stable polymorph in this dataset ... 178 meV/atom

a b c (Å): 4.650 4.650 4.650
angles (deg): 60.00 60.00 60.00
Sites, in units of the cell vectors:
S: 0.000 0.000 0.000
Te: 0.500 0.500 0.500
Pd: 0.250 0.250 0.250
Pd: 0.750 0.750 0.750



Entry 12:
Here is crystalline Te2Pd4S at its relaxed geometry from Alexandria via LeMat-Bulk. Energies are from PBE.

Values from the calculation:
E_form (uncorrected) ... -36 meV per atom
DFT total energy ... -4.49 eV per atom
Theoretical density ... 7994 kg/m3

a b c (Å): 4.442 4.442 8.137
angles (deg): 74.16 74.16 90.00
Sites, in units of the cell vectors:
S: 0.000 0.000 0.000
Te: 0.332 0.332 0.336
Te: 0.668 0.668 0.664
Pd: 0.157 0.157 0.686
Pd: 0.843 0.843 0.314
Pd: 0.000 0.500 0.000
Pd: 0.500 0.000 0.000



Entry 13:
Here is crystalline TePd2S at its relaxed geometry from Alexandria via LeMat-Bulk. Energies are from PBE.

Values from the calculation:
E_form (uncorrected) ... -153 meV per atom
DFT total energy ... -4.57 eV per atom
Theoretical density ... 6736 kg/m3
Energy above the most stable polymorph in this dataset ... 44 meV/atom

a b c (Å): 4.062 4.062 6.426
angles (deg): 90.00 90.00 120.00
Sites, in units of the cell vectors:
Te: 0.000 0.000 0.022
Pd: 0.667 0.333 0.830
Pd: 0.000 0.000 0.431
S: 0.667 0.333 0.467



Entry 14:
Here is crystalline Te2PdS at its relaxed geometry from Alexandria via LeMat-Bulk. Energies are from PBE.

Values from the calculation:
E_form (uncorrected) ... 398 meV per atom
DFT total energy ... -3.50 eV per atom
Theoretical density ... 6912 kg/m3

a b c (Å): 9.512 9.512 9.512
angles (deg): 20.75 20.75 20.75
Sites, in units of the cell vectors:
S: 0.500 0.500 0.500
Te: 0.907 0.907 0.907
Te: 0.093 0.093 0.093
Pd: 0.000 0.000 0.000



Entry 15:
Here is crystalline Te2PdS at its relaxed geometry from Alexandria via LeMat-Bulk. Energies are from PBE.

Values from the calculation:
E_form (uncorrected) ... -54 meV per atom
DFT total energy ... -3.95 eV per atom
Theoretical density ... 5696 kg/m3

a b c (Å): 8.010 8.010 8.010
angles (deg): 30.14 30.14 30.14
Sites, in units of the cell vectors:
S: 0.000 0.000 0.000
Te: 0.891 0.891 0.891
Te: 0.109 0.109 0.109
Pd: 0.500 0.500 0.500



Entry 16:
Here is crystalline TePd2S at its relaxed geometry from Alexandria via LeMat-Bulk. Energies are from PBE.

Values from the calculation:
E_form (uncorrected) ... -177 meV per atom
DFT total energy ... -4.59 eV per atom
Theoretical density ... 7110 kg/m3
Energy above the most stable polymorph in this dataset ... 20 meV/atom

a b c (Å): 4.952 4.952 7.913
angles (deg): 71.77 71.77 90.00
Sites, in units of the cell vectors:
S: 0.500 0.500 0.000
S: 0.250 0.750 0.500
Te: 0.000 0.000 0.000
Te: 0.750 0.250 0.500
Pd: 0.534 0.125 0.250
Pd: 0.216 0.625 0.250
Pd: 0.375 0.466 0.750
Pd: 0.875 0.784 0.750



Entry 17:
Here is crystalline Te2Pd3S at its relaxed geometry from Alexandria via LeMat-Bulk. Energies are from PBE.

Values from the calculation:
E_form (uncorrected) ... -197 meV per atom
DFT total energy ... -4.53 eV per atom
Theoretical density ... 7030 kg/m3

a b c (Å): 4.275 5.844 6.781
angles (deg): 115.52 108.38 90.00
Sites, in units of the cell vectors:
Te: 0.829 0.585 0.658
Te: 0.171 0.927 0.342
Pd: 0.000 0.059 0.000
Pd: 0.371 0.362 0.741
Pd: 0.629 0.621 0.259
S: 0.500 0.188 0.000



Entry 18:
Here is crystalline TePdS at its relaxed geometry from Alexandria via LeMat-Bulk. Energies are from PBE.

Values from the calculation:
E_form (uncorrected) ... -64 meV per atom
DFT total energy ... -4.22 eV per atom
Theoretical density ... 6432 kg/m3
Energy above the most stable polymorph in this dataset ... 201 meV/atom

a b c (Å): 5.578 3.944 6.846
angles (deg): 90.00 114.20 90.00
Sites, in units of the cell vectors:
S: 0.367 0.000 0.100
S: 0.367 0.500 0.600
Te: 0.856 0.000 0.932
Te: 0.856 0.500 0.432
Pd: 0.127 0.000 0.689
Pd: 0.127 0.500 0.189



Entry 19:
Here is crystalline TePd2S at its relaxed geometry from Alexandria via LeMat-Bulk. Energies are from PBE.

Values from the calculation:
E_form (uncorrected) ... -197 meV per atom
DFT total energy ... -4.61 eV per atom
Theoretical density ... 8196 kg/m3
Energy above the most stable polymorph in this dataset ... 0 meV/atom

a b c (Å): 3.810 3.810 6.394
angles (deg): 72.67 72.67 60.00
Sites, in units of the cell vectors:
S: 0.000 0.000 0.000
Te: 0.500 0.500 0.500
Pd: 0.261 0.261 0.218
Pd: 0.739 0.739 0.782



Entry 20:
Here is crystalline TePdS at its relaxed geometry from Alexandria via LeMat-Bulk. Energies are from PBE.

Values from the calculation:
E_form (uncorrected) ... -63 meV per atom
DFT total energy ... -4.22 eV per atom
Theoretical density ... 6581 kg/m3
Energy above the most stable polymorph in this dataset ... 202 meV/atom

a b c (Å): 3.820 2.955 6.155
angles (deg): 90.00 104.87 90.00
Sites, in units of the cell vectors:
S: 0.537 0.500 0.383
Te: 0.322 0.500 0.831
Pd: 0.943 0.500 0.136